[1]
Material: SmInHgGe
Method: DFT, GGA-PBE
State: relaxed

Unit cell a=5.174 b=5.174 c=5.174 alpha=60.00 beta=60.00 gamma=60.00
Atoms (fractional coordinates):
Sm  0.000  0.000  0.000
In  0.500  0.500  0.500
Hg  0.250  0.250  0.250
Ge  0.750  0.750  0.750

Output
* volume: 24.48 Å³ per atom
* energy of formation: -0.267 eV per atom
* M_tot: 0.00 μB/atom

---

[2]
Material: InSnHgGe
Method: DFT, GGA-PBE
State: relaxed

Unit cell a=5.190 b=5.190 c=5.190 alpha=60.00 beta=60.00 gamma=60.00
Atoms (fractional coordinates):
In  0.000  0.000  0.000
Sn  0.500  0.500  0.500
Hg  0.250  0.250  0.250
Ge  0.750  0.750  0.750

Output
* volume: 24.71 Å³ per atom
* energy of formation: 0.124 eV per atom
* M_tot: 0.00 μB/atom

---

[3]
Material: Sr2In4Hg3Ge
Method: DFT, GGA-PBE
State: relaxed

Unit cell a=4.846 b=4.846 c=12.039 alpha=90.00 beta=90.00 gamma=90.00
Atoms (fractional coordinates):
Sr  0.000  0.500  0.240
Sr  0.500  0.000  0.760
In  0.000  0.000  0.500
In  0.000  0.500  0.873
In  0.500  0.000  0.127
In  0.500  0.500  0.500
Hg  0.000  0.000  0.000
Hg  0.000  0.500  0.643
Hg  0.500  0.000  0.357
Ge  0.500  0.500  0.000

Output
* volume: 28.27 Å³ per atom
* energy of formation: -0.293 eV per atom
* M_tot: 0.00 μB/atom

---

[4]
Material: SrInHgGe
Method: DFT, GGA-PBE
State: relaxed

Unit cell a=5.333 b=5.333 c=5.333 alpha=60.00 beta=60.00 gamma=60.00
Atoms (fractional coordinates):
Sr  0.000  0.000  0.000
In  0.500  0.500  0.500
Hg  0.750  0.750  0.750
Ge  0.250  0.250  0.250

Output
* volume: 26.82 Å³ per atom
* energy of formation: -0.270 eV per atom
* M_tot: 0.00 μB/atom